(1)
Density functional theory data (meta-GGA SCAN) for a crystal of BaBPCl2 relaxed with PBEsol.

Its space group is P4/mmm, No. 123. The calculated volume is 217.5 Å³ per cell. The total magnetic moment comes out at 0.400 μB per atom. As for the total DFT energy (no corrections): -71.2 eV per cell. The calculation puts the raw formation energy at 0.43 eV/atom. The value obtained for the density of states at the Fermi level is 4.5 states/eV/f.u.

a = 5.826 Å, b = 5.826 Å, c = 6.409 Å
α = 90.00°, β = 90.00°, γ = 90.00°
Each line ends with the local moment (μB).
Sites, in units of the cell vectors:
Ba 0.000 0.000 0.000  0.03
Cl 0.000 0.500 0.000  0.02
Cl 0.500 0.000 0.000  0.02
B 0.500 0.500 0.500  -0.21
P 0.000 0.000 0.500  0.99

***

(2)
Density functional theory data (meta-GGA SCAN) for a crystal of CdAuBr2 relaxed with PBEsol.

Its space group is Immm, No. 71. The calculated volume is 99.0 Å³ per cell. The total magnetic moment comes out at 0.000 μB per atom. As for the total DFT energy (no corrections): -138.8 eV per cell. The calculation puts the raw formation energy at -0.08 eV/atom. The value obtained for the density of states at the Fermi level is 0.9 states/eV/f.u.

a = 3.976 Å, b = 5.413 Å, c = 5.413 Å
α = 72.69°, β = 68.45°, γ = 68.45°
Sites, in units of the cell vectors:
Au 0.500 0.000 0.000
Br 0.237 0.763 0.763
Br 0.763 0.237 0.237
Cd 0.000 0.500 0.500

***

(3)
Density functional theory data (meta-GGA SCAN) for a crystal of CoW2Cl relaxed with PBEsol.

Its space group is Pmmm, No. 47. The calculated volume is 59.6 Å³ per cell. The total magnetic moment comes out at 0.234 μB per atom. As for the total DFT energy (no corrections): -162.3 eV per cell. The calculation puts the raw formation energy at 0.59 eV/atom. The value obtained for the density of states at the Fermi level is 3.1 states/eV/f.u.

a = 2.721 Å, b = 3.257 Å, c = 6.723 Å
α = 90.00°, β = 89.99°, γ = 90.00°
Each line ends with the local moment (μB).
Sites, in units of the cell vectors:
Cl 0.500 0.500 0.500  -0.02
W 0.500 0.000 0.796  -0.03
W 0.500 0.000 0.204  -0.03
Co 0.000 0.500 0.000  1.04

***

(4)
Density functional theory data (meta-GGA SCAN) for a crystal of Ta2TlHg relaxed with PBEsol.

Its space group is P4/mmm, No. 123. The calculated volume is 75.2 Å³ per cell. The total magnetic moment comes out at 0.000 μB per atom. As for the total DFT energy (no corrections): -272.1 eV per cell. For the formation energy, the calculation gives 38 kJ/mol of atoms. The value obtained for the density of states at the Fermi level is 1.4 states/eV/f.u.

a = 4.118 Å, b = 4.118 Å, c = 4.435 Å
α = 90.00°, β = 90.00°, γ = 90.00°
Sites, in units of the cell vectors:
Ta 0.000 0.500 0.000
Ta 0.500 0.000 0.000
Tl 0.500 0.500 0.500
Hg 0.000 0.000 0.500

***

(5)
Density functional theory data (meta-GGA SCAN) for a crystal of CaMg2Ag relaxed with PBEsol.

Its space group is P4/mmm, No. 123. The calculated volume is 93.8 Å³ per cell. The total magnetic moment comes out at 0.000 μB per atom. As for the total DFT energy (no corrections): -51.6 eV per cell. For the formation energy, the calculation gives -15 kJ/mol of atoms. The value obtained for the density of states at the Fermi level is 1.9 states/eV/f.u.

a = 3.458 Å, b = 3.458 Å, c = 7.843 Å
α = 90.00°, β = 90.00°, γ = 90.00°
Sites, in units of the cell vectors:
Mg 0.000 0.000 0.195
Mg 0.000 0.000 0.805
Ag 0.500 0.500 0.000
Ca 0.500 0.500 0.500

***

(6)
Density functional theory data (meta-GGA SCAN) for a crystal of AgMo2Ru relaxed with PBEsol.

Its space group is Pmmm, No. 47. The calculated volume is 59.9 Å³ per cell. The total magnetic moment comes out at 0.000 μB per atom. As for the total DFT energy (no corrections): -134.8 eV per cell. For the formation energy, the calculation gives 29 kJ/mol of atoms. The value obtained for the density of states at the Fermi level is 1.9 states/eV/f.u.

a = 2.750 Å, b = 3.943 Å, c = 5.522 Å
α = 90.00°, β = 90.00°, γ = 90.00°
Sites, in units of the cell vectors:
Mo 0.000 0.000 0.228
Mo 0.000 0.000 0.772
Ag 0.500 0.500 0.500
Ru 0.500 0.500 0.000

***

(7)
Density functional theory data (meta-GGA SCAN) for a crystal of ZrBe relaxed with PBEsol.

Its space group is Cmcm, No. 63. The calculated volume is 62.2 Å³ per cell. The total magnetic moment comes out at 0.262 μB per atom. As for the total DFT energy (no corrections): -70.5 eV per cell. For the formation energy, the calculation gives -9 kJ/mol of atoms. The value obtained for the density of states at the Fermi level is 1.8 states/eV/f.u.

a = 3.235 Å, b = 3.789 Å, c = 5.329 Å
α = 90.00°, β = 107.67°, γ = 90.00°
Each line ends with the local moment (μB).
Sites, in units of the cell vectors:
Zr 0.154 0.250 0.307  0.27
Zr 0.846 0.750 0.693  0.27
Be 0.440 0.250 0.881  0.01
Be 0.560 0.750 0.119  0.01

***

(8)
Density functional theory data (meta-GGA SCAN) for a crystal of Ca2YBeO5 relaxed with PBEsol.

Its space group is Pnma, No. 62. The calculated volume is 399.2 Å³ per cell. The total magnetic moment comes out at 0.114 μB per atom. As for the total DFT energy (no corrections): -443.9 eV per cell. The calculation puts the raw formation energy at -3.14 eV/atom. The value obtained for the density of states at the Fermi level is 3.6 states/eV/f.u.

a = 6.274 Å, b = 7.030 Å, c = 9.050 Å
α = 90.00°, β = 90.00°, γ = 90.00°
Each line ends with the local moment (μB).
Sites, in units of the cell vectors:
O 0.827 0.250 0.226  0.35
O 0.035 0.750 0.491  0.27
O 0.315 0.443 0.564  0.11
O 0.185 0.057 0.064  0.11
O 0.315 0.057 0.564  0.11
O 0.871 0.750 0.223  0.09
O 0.185 0.443 0.064  0.11
O 0.535 0.250 0.009  0.27
O 0.371 0.250 0.277  0.09
O 0.673 0.250 0.726  0.35
O 0.685 0.943 0.436  0.11
O 0.629 0.750 0.723  0.09
O 0.327 0.750 0.274  0.35
O 0.129 0.250 0.777  0.09
O 0.815 0.557 0.936  0.11
O 0.685 0.557 0.436  0.11
O 0.815 0.943 0.936  0.11
O 0.965 0.250 0.509  0.27
O 0.465 0.750 0.991  0.27
O 0.173 0.750 0.774  0.35
Y 0.597 0.250 0.472  -0.01
Y 0.403 0.750 0.528  -0.01
Y 0.097 0.750 0.028  -0.01
Y 0.903 0.250 0.972  -0.01
Ca 0.089 0.024 0.326  -0.01
Ca 0.911 0.976 0.674  -0.01
Ca 0.589 0.524 0.174  -0.01
Ca 0.589 0.976 0.174  -0.01
Ca 0.089 0.476 0.326  -0.01
Ca 0.411 0.476 0.826  -0.01
Ca 0.911 0.524 0.674  -0.01
Ca 0.411 0.024 0.826  -0.01
Be 0.810 0.750 0.398  -0.01
Be 0.190 0.250 0.602  -0.01
Be 0.690 0.750 0.898  -0.01
Be 0.310 0.250 0.102  -0.01

***

(9)
Density functional theory data (meta-GGA SCAN) for a crystal of Na2BiBr2 relaxed with PBEsol.

Its space group is P4/mbm, No. 127. The calculated volume is 268.2 Å³ per cell. The total magnetic moment comes out at 0.366 μB per atom. As for the total DFT energy (no corrections): -259.8 eV per cell. The calculation puts the raw formation energy at -0.80 eV/atom. The value obtained for the density of states at the Fermi level is 2.2 states/eV/f.u.

a = 3.533 Å, b = 8.712 Å, c = 8.712 Å
α = 90.00°, β = 90.00°, γ = 90.00°
Each line ends with the local moment (μB).
Sites, in units of the cell vectors:
Br 0.500 0.653 0.847  0.10
Br 0.500 0.347 0.153  0.10
Br 0.500 0.847 0.347  0.10
Br 0.500 0.153 0.653  0.10
Bi 0.000 0.500 0.500  0.94
Bi 0.000 0.000 0.000  0.94
Na 0.000 0.141 0.359  0.01
Na 0.000 0.359 0.859  0.01
Na 0.000 0.859 0.641  0.01
Na 0.000 0.641 0.141  0.01

***

(10)
Density functional theory data (meta-GGA SCAN) for a crystal of Li2LaTa relaxed with PBEsol.

Its space group is C2/m, No. 12. The calculated volume is 85.6 Å³ per cell. The total magnetic moment comes out at 0.000 μB per atom. As for the total DFT energy (no corrections): -112.6 eV per cell. For the formation energy, the calculation gives 45 kJ/mol of atoms. The value obtained for the density of states at the Fermi level is 3.3 states/eV/f.u.

a = 3.045 Å, b = 5.148 Å, c = 5.782 Å
α = 101.31°, β = 105.26°, γ = 90.00°
Sites, in units of the cell vectors:
Li 0.233 0.204 0.467
Li 0.767 0.796 0.533
La 0.000 0.500 0.000
Ta 0.500 0.000 0.000

***

Question: The lowest calculated volume belongs to which entry?
Answer: CoW2Cl

***

Question: Which formula does entry 2 have?
Answer: CdAuBr2

***

Question: The lowest total DFT energy (no corrections) belongs to which entry?
Answer: Ca2YBeO5

***

Question: Which of these has the highest total magnetic moment?
Answer: BaBPCl2